The following is a DFT calculation (PBE) of a relaxed ReIrPb2 crystal.

a = 8.477 Å, b = 2.998 Å, c = 7.605 Å
α = 90.00°, β = 95.81°, γ = 90.00°
Space group Cm (No. 8)
Symmetry-distinct sites (fractional):
Re 0.000 0.000 0.000 [2 per cell]
Ir 0.265 0.000 0.886 [2 per cell]
Pb 0.021 0.500 0.642 [2 per cell]
Pb 0.234 0.500 0.250 [2 per cell]

Output
* energy above the lowest structure with this stoichiometry: 0.155 eV per atom
* energy relative to the elements: 0.504 eV/atom
* size of the total moment: 0.0 μB/f.u.

The following is a DFT calculation (PBE) of a relaxed ReIr2Pb crystal.

a = 5.926 Å, b = 5.926 Å, c = 11.515 Å
α = 90.00°, β = 90.00°, γ = 90.00°
Space group I-42d (No. 122)
Symmetry-distinct sites (fractional):
Re 0.000 0.000 0.000 [4 per cell]
Ir 0.205 0.250 0.125 [8 per cell]
Pb 0.000 0.000 0.500 [4 per cell]

Output
* energy relative to the elements: 0.910 eV/atom
* size of the total moment: 0.0 μB/f.u.

The following is a DFT calculation (PBE) of a relaxed Re2IrPb crystal.

a = 2.850 Å, b = 3.701 Å, c = 6.869 Å
α = 90.00°, β = 90.00°, γ = 90.00°
Space group Pmm2 (No. 25)
Symmetry-distinct sites (fractional):
Re 0.000 0.000 0.000 [1 per cell]
Re 0.500 0.500 0.186 [1 per cell]
Ir 0.000 0.000 0.392 [1 per cell]
Pb 0.500 0.500 0.685 [1 per cell]

Output
* energy relative to the elements: 0.597 eV/atom
* size of the total moment: 0.0 μB/f.u.

The following is a DFT calculation (PBE) of a relaxed ReIr2Pb crystal.

a = 4.872 Å, b = 2.879 Å, c = 4.967 Å
α = 90.00°, β = 106.86°, γ = 90.00°
Space group P2/m (No. 10)
Symmetry-distinct sites (fractional):
Re 0.000 0.000 0.000 [1 per cell]
Ir 0.000 0.500 0.500 [1 per cell]
Ir 0.500 0.000 0.500 [1 per cell]
Pb 0.500 0.500 0.000 [1 per cell]

Output
* energy relative to the elements: 0.687 eV/atom
* size of the total moment: 0.0 μB/f.u.